A relaxed structure of LiTcC2. Source: Alexandria, functional GGA-PBE.

Values from the calculation:
The calculation puts the formation energy at 1122 meV per atom. The crystal system is cubic.

Lattice parameters (Å, degrees): 5.1843 5.1843 5.1843 90.00 90.00 90.00
With the nearest neighbours (Å) after each atom.
Space group Fm-3m (No. 225)
One atom of each set of equivalent atoms:
Li1 0.0000 0.0000 0.0000 [4 per cell]  8 C 2.24
Tc1 0.0000 0.0000 0.5000 [4 per cell]  8 C 2.24
C1 0.2500 0.2500 0.2500 [8 per cell]  4 Li 2.24, 4 Tc 2.24

---

A relaxed structure of CaSiH. Source: Alexandria, functional GGA-PBE.

Values from the calculation:
The crystal system is monoclinic. The value obtained for the total energy is -11.86 eV per formula unit.

Lattice parameters (Å, degrees): 10.7554 4.4311 4.1470 90.00 92.06 90.00
With the nearest neighbours (Å) after each atom.
Space group C2/m (No. 12)
One atom of each set of equivalent atoms:
Ca1 0.1356 0.0000 0.2418 [4 per cell]  3 H 2.33-2.41
Si1 0.0770 0.5000 0.7222 [4 per cell]  1 H 1.65
H1 0.1813 0.5000 0.4408 [4 per cell]  1 Si 1.65

---

A relaxed structure of GaSnH2Pb. Source: Alexandria, functional GGA-PBE.

Values from the calculation:
The crystal system is tetragonal. The value obtained for the total energy is -15.53 eV per formula unit.

Lattice parameters (Å, degrees): 4.0723 4.0723 6.3751 90.00 90.00 90.00
With the nearest neighbours (Å) after each atom.
Space group P4/mmm (No. 123)
One atom of each set of equivalent atoms:
Ga1 0.0000 0.0000 0.0000 [1 per cell]  4 Sn 2.88
Sn1 0.5000 0.5000 0.0000 [1 per cell]  4 Ga 2.88, 2 Pb 3.19
H1 0.0000 0.5000 0.5000 [2 per cell]  2 Pb 2.04
Pb1 0.5000 0.5000 0.5000 [1 per cell]  4 H 2.04

---

A relaxed structure of CaCBr. Source: Alexandria, functional GGA-PBE.

Values from the calculation:
The crystal system is tetragonal. The calculation puts the formation energy from raw total energies at 104 kJ/mol of formula units.

Lattice parameters (Å, degrees): 5.0630 5.0630 5.0530 90.00 90.00 90.00
With the nearest neighbours (Å) after each atom.
Space group P4mm (No. 99)
One atom of each set of equivalent atoms:
Ca1 0.0000 0.0000 0.0000 [1 per cell]  4 C 2.53
Ca2 0.5000 0.5000 0.1833 [1 per cell]  4 C 2.66
C1 0.0000 0.5000 0.0192 [2 per cell]  1 Br 2.02
Br1 0.0000 0.5000 0.6186 [2 per cell]  1 C 2.02

---

A relaxed structure of Pm2Pr7Y3. Source: Alexandria, functional GGA-PBE.

Values from the calculation:
The calculation puts the formation energy at 271 meV per atom. The crystal system is monoclinic.

Lattice parameters (Å, degrees): 6.2844 5.5741 12.6922 90.00 90.45 90.00
With the nearest neighbours (Å) after each atom.
Space group P2/m (No. 10)
One atom of each set of equivalent atoms:
Pm1 0.1006 0.0000 0.2792 [2 per cell]  6 Pr 3.18-3.55
Pr1 0.0577 0.5000 0.8184 [2 per cell]  2 Pm 3.21
Pr2 0.2580 0.0000 0.5453 [2 per cell]  2 Pm 3.18-3.51, 2 Pr 3.26-3.43
Pr3 0.4225 0.0000 0.8291 [2 per cell]  2 Pm 3.31-3.55, 3 Y 3.44-3.68, 4 Pr 3.56-3.61
Pr4 0.5000 0.5000 0.0000 [1 per cell]  6 Pr 3.56-3.60
Y1 0.0000 0.0000 0.0000 [1 per cell]  6 Pr 3.44-3.64, 2 Pm 3.60
Y2 0.4310 0.5000 0.3457 [2 per cell]  2 Pm 3.57, 8 Pr 3.67-3.93

---

A relaxed structure of TeO4. Source: Alexandria, functional GGA-PBE.

Values from the calculation:
The crystal system is monoclinic. The calculation puts the formation energy from raw total energies at -199 kJ/mol of formula units.

Lattice parameters (Å, degrees): 4.7312 5.2001 5.3250 90.00 95.18 90.00
With the nearest neighbours (Å) after each atom.
Space group P2_1/c (No. 14)
One atom of each set of equivalent atoms:
Te1 0.0000 0.0000 0.0000 [2 per cell]  6 O 1.93-2.01
O1 0.0705 0.1842 0.3241 [4 per cell]  2 Te 1.93-1.98
O2 0.4107 0.6024 0.5421 [4 per cell]  1 O 1.45

---

A relaxed structure of PmSmDyCd. Source: Alexandria, functional GGA-PBE.

Values from the calculation:
The calculation puts the formation energy at -3 meV per atom. The crystal system is cubic.

Lattice parameters (Å, degrees): 7.7968 7.7968 7.7968 90.00 90.00 90.00
With the nearest neighbours (Å) after each atom.
Space group F-43m (No. 216)
One atom of each set of equivalent atoms:
Pm1 0.0000 0.0000 0.0000 [4 per cell]  4 Dy 3.38, 4 Sm 3.38
Sm1 0.2500 0.2500 0.7500 [4 per cell]  4 Cd 3.38, 4 Pm 3.38
Dy1 0.2500 0.2500 0.2500 [4 per cell]  4 Cd 3.38, 4 Pm 3.38
Cd1 0.0000 0.0000 0.5000 [4 per cell]  4 Dy 3.38, 4 Sm 3.38

---

A relaxed structure of MgAlHg2. Source: Alexandria, functional GGA-PBE.

Values from the calculation:
The calculation puts the formation energy at -30 meV per atom. The crystal system is monoclinic.

Lattice parameters (Å, degrees): 8.7433 3.3818 5.9800 90.00 102.25 90.00
With the nearest neighbours (Å) after each atom.
Space group C2/m (No. 12)
One atom of each set of equivalent atoms:
Mg1 0.0000 0.0000 0.0000 [2 per cell]  6 Hg 2.92-2.93
Al1 0.0000 0.5000 0.5000 [2 per cell]  6 Hg 2.87-2.89
Hg1 0.2492 0.0000 0.7422 [4 per cell]  3 Al 2.87-2.89, 3 Mg 2.92-2.93

---

Please write out number 3 again, unchanged.
A relaxed structure of GaSnH2Pb. Source: Alexandria, functional GGA-PBE.

Values from the calculation:
The crystal system is tetragonal. The value obtained for the total energy is -15.53 eV per formula unit.

Lattice parameters (Å, degrees): 4.0723 4.0723 6.3751 90.00 90.00 90.00
With the nearest neighbours (Å) after each atom.
Space group P4/mmm (No. 123)
One atom of each set of equivalent atoms:
Ga1 0.0000 0.0000 0.0000 [1 per cell]  4 Sn 2.88
Sn1 0.5000 0.5000 0.0000 [1 per cell]  4 Ga 2.88, 2 Pb 3.19
H1 0.0000 0.5000 0.5000 [2 per cell]  2 Pb 2.04
Pb1 0.5000 0.5000 0.5000 [1 per cell]  4 H 2.04